Below is a relaxed structure of Cu5Au, with properties calculated at the PBE-GGA level.

Symmetry: Amm2
ΔH_f (0 K) (eV per atom): 0.02
M_tot (μB per formula unit): 0.0

Cell lengths 4.245, 6.828, 6.828 Å; angles 23.51, 90.00, 90.00 degrees
Positions (direct):
Cu1 0.000 0.000 0.000
Cu2 0.000 0.320 0.320
Cu3 0.000 0.659 0.659
Cu4 0.500 0.204 0.204
Cu5 0.500 0.550 0.550
Au1 0.500 0.878 0.878